# ReSb2Br PBE-GGA relaxed
# Uncorrected formation energy (eV per atom): 0.64
# M_tot (μB/atom): 0.122
# VASP energy (eV per atom): -4.96
# ΔE to the lowest computed polymorph (eV/f.u.): 1.69
data_ReSb2Br
_chemical_formula_sum 'Re1 Sb2 Br1'
_cell_length_a 3.528
_cell_length_b 3.528
_cell_length_c 7.861
_cell_angle_alpha 90.00
_cell_angle_beta 90.00
_cell_angle_gamma 90.00
_symmetry_space_group_name_H-M 'P 1'
_symmetry_Int_Tables_number 1
loop_
_symmetry_equiv_pos_as_xyz
'x,y,z'
loop_
_atom_site_label
_atom_site_type_symbol
_atom_site_fract_x
_atom_site_fract_y
_atom_site_fract_z
Re1 Re 0.000 0.000 0.000
Sb1 Sb 0.000 0.000 0.373
Sb2 Sb 0.500 0.500 0.138
Br1 Br 0.500 0.500 0.740



# TcMoPt2 PBE-GGA relaxed
# M_tot (μB/atom): 0.000
# VASP energy (eV per atom): -8.42
# ΔE to the lowest computed polymorph (eV/f.u.): 0.60
# ΔE_f (eV/atom): -0.1052
data_TcMoPt2
_chemical_formula_sum 'Tc1 Mo1 Pt2'
_cell_length_a 4.811
_cell_length_b 2.761
_cell_length_c 4.876
_cell_angle_alpha 90.00
_cell_angle_beta 109.37
_cell_angle_gamma 90.00
_symmetry_space_group_name_H-M 'P 1'
_symmetry_Int_Tables_number 1
loop_
_symmetry_equiv_pos_as_xyz
'x,y,z'
loop_
_atom_site_label
_atom_site_type_symbol
_atom_site_fract_x
_atom_site_fract_y
_atom_site_fract_z
Tc1 Tc 0.000 0.000 0.000
Mo1 Mo 0.500 0.500 0.000
Pt1 Pt 0.000 0.500 0.500
Pt2 Pt 0.500 0.000 0.500